Here is a relaxed structure of KGe2AsO6 from the Alexandria database. Energies are from PBE.

Structure (POSCAR):
```
KGe2AsO6
1.0
-2.404 -5.191 1.323
2.434 -4.396 -5.481
5.262 -3.257 4.121
K Ge As O
2 4 2 12
Direct
0.250 0.906 0.094 K
0.750 0.094 0.906 K
0.297 0.831 0.635 Ge
0.203 0.365 0.169 Ge
0.703 0.169 0.365 Ge
0.797 0.635 0.831 Ge
0.250 0.283 0.717 As
0.750 0.717 0.283 As
0.183 0.051 0.742 O
0.317 0.258 0.949 O
0.817 0.949 0.258 O
0.683 0.742 0.051 O
0.397 0.843 0.399 O
0.103 0.601 0.157 O
0.603 0.157 0.601 O
0.897 0.399 0.843 O
0.023 0.747 0.696 O
0.477 0.304 0.253 O
0.977 0.253 0.304 O
0.523 0.696 0.747 O
```

## Properties
The calculated total energy comes out at -5.974 eV per atom. The uncorrected formation energy comes out at -1.5011 eV per atom.